1.
Below is an optimized crystal structure of YPbAuSe3, with properties calculated at the PBE level.

Summary:
DFT total energy ... -4.863 eV/atom

Cell lengths 11.7362, 4.2147, 12.3517 Å; angles 90.00, 90.00, 90.00 degrees
Atoms (fractional coordinates):
Y1 0.0261 0.2500 0.1924
Y2 0.4739 0.7500 0.6924
Y3 0.5261 0.2500 0.3076
Y4 0.9739 0.7500 0.8076
Pb1 0.1938 0.2500 0.4874
Pb2 0.3062 0.7500 0.9874
Pb3 0.6938 0.2500 0.0126
Pb4 0.8062 0.7500 0.5126
Au1 0.2385 0.7500 0.3069
Au2 0.2615 0.2500 0.8069
Au3 0.7385 0.7500 0.1931
Au4 0.7615 0.2500 0.6931
Se1 0.0248 0.7500 0.3569
Se2 0.0836 0.2500 0.9303
Se3 0.2316 0.7500 0.6700
Se4 0.2684 0.2500 0.1700
Se5 0.4164 0.7500 0.4303
Se6 0.4752 0.2500 0.8569
Se7 0.5248 0.7500 0.1431
Se8 0.5836 0.2500 0.5697
Se9 0.7316 0.7500 0.8300
Se10 0.7684 0.2500 0.3300
Se11 0.9164 0.7500 0.0697
Se12 0.9752 0.2500 0.6431



2.
Below is an optimized crystal structure of RbNpPd, with properties calculated at the PBE level.

Summary:
DFT total energy ... -5.477 eV/atom

Cell lengths 7.2891, 7.2891, 7.2891 Å; angles 90.00, 90.00, 90.00 degrees
Atoms (fractional coordinates):
Rb1 0.0000 0.0000 0.0000
Rb2 0.0000 0.5000 0.5000
Rb3 0.5000 0.0000 0.5000
Rb4 0.5000 0.5000 0.0000
Np1 0.0000 0.0000 0.5000
Np2 0.0000 0.5000 0.0000
Np3 0.5000 0.0000 0.0000
Np4 0.5000 0.5000 0.5000
Pd1 0.2500 0.2500 0.7500
Pd2 0.2500 0.7500 0.2500
Pd3 0.7500 0.2500 0.2500
Pd4 0.7500 0.7500 0.7500



3.
Below is an optimized crystal structure of TbNbCN2O2, with properties calculated at the PBE level.

Summary:
DFT total energy ... -8.680 eV/atom

Cell lengths 3.6036, 3.6036, 8.0768 Å; angles 90.00, 90.00, 120.00 degrees
Atoms (fractional coordinates):
Tb1 0.0000 0.0000 0.0000
Nb1 0.3333 0.6667 0.3563
C1 0.6667 0.3333 0.6705
N1 0.6667 0.3333 0.5177
N2 0.6667 0.3333 0.8236
O1 0.0000 0.0000 0.2874
O2 0.3333 0.6667 0.0838



4.
Below is an optimized crystal structure of NaNdPt, with properties calculated at the PBE level.

Summary:
DFT total energy ... -4.017 eV/atom

Cell lengths 6.6358, 6.6358, 6.6358 Å; angles 90.00, 90.00, 90.00 degrees
Atoms (fractional coordinates):
Na1 0.0000 0.0000 0.0000
Na2 0.0000 0.5000 0.5000
Na3 0.5000 0.0000 0.5000
Na4 0.5000 0.5000 0.0000
Nd1 0.2500 0.2500 0.7500
Nd2 0.2500 0.7500 0.2500
Nd3 0.7500 0.2500 0.2500
Nd4 0.7500 0.7500 0.7500
Pt1 0.2500 0.2500 0.2500
Pt2 0.2500 0.7500 0.7500
Pt3 0.7500 0.2500 0.7500
Pt4 0.7500 0.7500 0.2500



Among the records above, which one has the lowest DFT total energy?
TbNbCN2O2